## NaTm2MgSe4 (PBE-GGA)

Data for a relaxed structure of NaTm2MgSe4.

It has space group I-4m2 (No. 119), with a = 5.697 Å, b = 5.697 Å, c = 11.455 Å, α = 90.00°, β = 90.00° and γ = 90.00°. The inequivalent atoms are Na at (0.000, 0.000, 0.000), Tm at (0.000, 0.000, 0.500), Tm at (0.000, 0.500, 0.250), Mg at (0.000, 0.500, 0.750), Se at (0.000, 0.000, 0.253) and Se at (0.000, 0.500, 0.503).

The value obtained for the total magnetization is 0.000 μB/cell. The value obtained for the total energy is -4.73 eV/atom. The density of states at the Fermi level comes out at 6.57 states/eV/cell. As for the formation energy from raw total energies: -1.5048 eV/atom.


## ScPOs3 (PBE-GGA)

Data for a relaxed structure of ScPOs3.

It has space group Pm-3m (No. 221), with a = 4.372 Å, b = 4.372 Å, c = 4.372 Å, α = 90.00°, β = 90.00° and γ = 90.00°. The inequivalent atoms are Sc at (0.000, 0.000, 0.000), P at (0.500, 0.500, 0.500) and Os at (0.000, 0.500, 0.500).

The value obtained for the total magnetization is 0.000 μB/cell. The value obtained for the energy above the most stable polymorph in this dataset is 0 meV/atom. The value obtained for the total energy is -8.87 eV/atom. As for the formation energy: 0.216 eV per atom. The density of states at the Fermi level comes out at 1.68 states/eV/cell.


## YMnSi2 (PBE-GGA)

Data for a relaxed structure of YMnSi2.

It has space group F-43m (No. 216), with a = 6.474 Å, b = 6.474 Å, c = 6.474 Å, α = 90.00°, β = 90.00° and γ = 90.00°. The inequivalent atoms are Y at (0.000, 0.000, 0.000), Mn at (0.250, 0.250, 0.250), Si at (0.000, 0.000, 0.500) and Si at (0.250, 0.250, 0.750).

The value obtained for the total magnetization is 8.438 μB/cell. The value obtained for the total energy is -6.47 eV/atom. The density of states at the Fermi level comes out at 12.38 states/eV/cell. As for the formation energy from raw total energies: 0.1507 eV/atom.